Entry 1:
The following is a PBE-GGA calculation of a relaxed structure of Hf4Sc2In3N3, from the Open Quantum Materials Database.

Lattice parameters (Å, degrees): 5.6774 5.6774 14.9583 100.97 100.97 60.02
Last column: nearest neighbours and their distance in Å.
Sites, in units of the cell vectors:
N  0.8379  0.3311  0.5000  4 Hf 2.22-2.23, 2 Sc 2.26
Hf  0.0234  0.1973  0.0811  3 N 2.22-2.23
N  0.6689  0.1621  0.0000  4 Hf 2.22-2.23, 2 Sc 2.26
Hf  0.8027  0.9766  0.4189  3 N 2.22-2.23
In  0.9201  0.0799  0.7500  2 Sc 3.10, 4 Hf 3.11, 6 In 3.26-3.31
Hf  0.9766  0.8027  0.9189  3 N 2.22-2.23
Hf  0.1431  0.3063  0.4189  3 N 2.22-2.23
Hf  0.3063  0.1430  0.9189  3 N 2.22-2.23
Hf  0.6937  0.8570  0.0811  3 N 2.22-2.23
N  0.3311  0.8379  0.0000  4 Hf 2.22-2.23, 2 Sc 2.26
Sc  0.4718  0.6352  0.4166  3 N 2.26-2.27
In  0.7535  0.5836  0.2508  2 Sc 3.09, 4 Hf 3.10, 6 In 3.26-3.31
Hf  0.1973  0.0234  0.5811  3 N 2.22-2.23
N  0.1621  0.6689  0.5000  4 Hf 2.22-2.23, 2 Sc 2.26
In  0.0799  0.9201  0.2500  2 Sc 3.10, 4 Hf 3.11, 6 In 3.26-3.31
N  0.5000  0.0000  0.5000  4 Hf 2.22, 2 Sc 2.27
Hf  0.8570  0.6937  0.5811  3 N 2.22-2.23
In  0.4164  0.2465  0.2492  2 Sc 3.09, 4 Hf 3.10, 6 In 3.26-3.31
Sc  0.3648  0.5282  0.0834  3 N 2.26-2.27
Sc  0.5282  0.3648  0.5834  3 N 2.26-2.27
Sc  0.6352  0.4718  0.9166  3 N 2.26-2.27
In  0.5836  0.7535  0.7508  2 Sc 3.09, 4 Hf 3.10, 6 In 3.26-3.31
In  0.2465  0.4164  0.7492  2 Sc 3.09, 4 Hf 3.10, 6 In 3.26-3.31
N  0.0000  0.5000  0.0000  4 Hf 2.22, 2 Sc 2.27

Properties
Symmetry: C2/c (15)

Entry 2:
The following is a PBE-GGA calculation of a relaxed structure of Hf4InSiN2, from the Open Quantum Materials Database.

Lattice parameters (Å, degrees): 3.2275 3.2275 14.0452 90.00 90.00 120.00
Last column: nearest neighbours and their distance in Å.
Sites, in units of the cell vectors:
Si  0.3333  0.6667  0.5000  6 Hf 2.77
Hf  0.3333  0.6667  0.1748  3 N 2.24
N  0.6667  0.3333  0.2630  6 Hf 2.24-2.26
In  0.0000  0.0000  0.0000  6 Hf 3.08, 6 In 3.23
Hf  0.0000  0.0000  0.6463  3 N 2.26
N  0.6667  0.3333  0.7370  6 Hf 2.24-2.26
Hf  0.3333  0.6667  0.8252  3 N 2.24
Hf  0.0000  0.0000  0.3537  3 N 2.26

Properties
Symmetry: P-6m2 (187)

Entry 3:
The following is a PBE-GGA calculation of a relaxed structure of Hf4Ta2In3N3, from the Open Quantum Materials Database.

Lattice parameters (Å, degrees): 5.5353 5.5353 15.0564 100.55 100.55 60.11
Last column: nearest neighbours and their distance in Å.
Sites, in units of the cell vectors:
In  0.9052  0.0948  0.7500  4 Hf 3.06, 2 Ta 3.07, 6 In 3.08-3.26
N  0.3303  0.8398  0.0000  2 Ta 2.21-2.22, 4 Hf 2.22-2.23
In  0.4157  0.2632  0.2494  2 Ta 3.05, 4 Hf 3.06-3.07, 6 In 3.07-3.26
Hf  0.3047  0.1396  0.9141  3 N 2.22-2.24
Hf  0.9732  0.8031  0.9141  3 N 2.23
N  0.1602  0.6697  0.5000  2 Ta 2.21-2.22, 4 Hf 2.22-2.23
Hf  0.0268  0.1969  0.0859  3 N 2.23
Ta  0.4729  0.6369  0.4190  3 N 2.21-2.22
In  0.7368  0.5843  0.2506  2 Ta 3.05, 4 Hf 3.06-3.07, 6 In 3.07-3.26
N  0.5000  0.0000  0.5000  2 Ta 2.21, 4 Hf 2.23-2.24
Hf  0.8031  0.9732  0.4141  3 N 2.23
Hf  0.1969  0.0268  0.5859  3 N 2.23
In  0.2632  0.4157  0.7494  2 Ta 3.05, 4 Hf 3.06-3.07, 6 In 3.07-3.26
N  0.0000  0.5000  0.0000  2 Ta 2.21, 4 Hf 2.23-2.24
Hf  0.8604  0.6953  0.5859  3 N 2.22-2.24
Ta  0.3631  0.5271  0.0810  3 N 2.21-2.22
Ta  0.6369  0.4729  0.9190  3 N 2.21-2.22
Hf  0.6953  0.8604  0.0859  3 N 2.22-2.24
In  0.5843  0.7368  0.7506  2 Ta 3.05, 4 Hf 3.06-3.07, 6 In 3.07-3.26
Ta  0.5271  0.3631  0.5810  3 N 2.21-2.22
In  0.0948  0.9052  0.2500  4 Hf 3.06, 2 Ta 3.07, 6 In 3.08-3.26
N  0.6697  0.1602  0.0000  2 Ta 2.21-2.22, 4 Hf 2.22-2.23
N  0.8398  0.3303  0.5000  2 Ta 2.21-2.22, 4 Hf 2.22-2.23
Hf  0.1396  0.3047  0.4141  3 N 2.22-2.24

Properties
Symmetry: C2/c (15)

Entry 4:
The following is a PBE-GGA calculation of a relaxed structure of Hf2In3W4N3, from the Open Quantum Materials Database.

Lattice parameters (Å, degrees): 5.5346 5.5346 14.2357 100.50 100.50 60.29
Last column: nearest neighbours and their distance in Å.
Sites, in units of the cell vectors:
N  0.1956  0.6518  0.4995  4 W 2.13-2.22, 2 Hf 2.17
In  0.9489  0.0511  0.7500  4 W 2.96-2.97, 2 Hf 2.99, 4 In 3.04
Hf  0.3531  0.5267  0.0913  3 N 2.17-2.20
W  0.0493  0.1715  0.0753  3 N 2.13-2.22
Hf  0.5267  0.3531  0.5913  3 N 2.17-2.20
Hf  0.4733  0.6469  0.4087  3 N 2.17-2.20
In  0.2107  0.4232  0.7539  4 W 2.98-3.02, 2 Hf 3.01-3.04, 4 In 3.04-3.05
N  0.0000  0.5000  0.0000  4 W 2.15-2.20, 2 Hf 2.20
N  0.8044  0.3482  0.5005  4 W 2.13-2.22, 2 Hf 2.17
In  0.4232  0.2107  0.2539  4 W 2.98-3.02, 2 Hf 3.01-3.04, 4 In 3.04-3.05
W  0.9507  0.8285  0.9247  3 N 2.13-2.22
W  0.1185  0.3089  0.4230  3 N 2.13-2.20
In  0.0511  0.9489  0.2500  4 W 2.96-2.97, 2 Hf 2.99, 4 In 3.04
W  0.1715  0.0493  0.5753  3 N 2.13-2.22
Hf  0.6469  0.4733  0.9087  3 N 2.17-2.20
N  0.6518  0.1956  0.9995  4 W 2.13-2.22, 2 Hf 2.17
W  0.3089  0.1185  0.9230  3 N 2.13-2.20
N  0.5000  0.0000  0.5000  4 W 2.15-2.20, 2 Hf 2.20
W  0.6911  0.8815  0.0770  3 N 2.13-2.20
In  0.7893  0.5768  0.2461  4 W 2.98-3.02, 2 Hf 3.01-3.04, 4 In 3.04-3.05
In  0.5768  0.7893  0.7461  4 W 2.98-3.02, 2 Hf 3.01-3.04, 4 In 3.04-3.05
W  0.8285  0.9507  0.4247  3 N 2.13-2.22
W  0.8815  0.6911  0.5770  3 N 2.13-2.20
N  0.3482  0.8044  0.0005  4 W 2.13-2.22, 2 Hf 2.17

Properties
Symmetry: C2/c (15)

Entry 5:
The following is a PBE-GGA calculation of a relaxed structure of Y2Hf4In3N3, from the Open Quantum Materials Database.

Lattice parameters (Å, degrees): 5.8449 5.8449 15.0655 101.26 101.26 60.00
Last column: nearest neighbours and their distance in Å.
Sites, in units of the cell vectors:
Hf  0.1496  0.3075  0.9231  3 N 2.23-2.24
In  0.4163  0.1762  0.7483  4 In 3.07-3.08, 4 Hf 3.09-3.10, 2 Y 3.24-3.25
In  0.9888  0.0112  0.2500  4 In 3.07-3.08, 4 Hf 3.11-3.12, 2 Y 3.26
N  0.6735  0.1527  0.5000  4 Hf 2.23-2.24, 2 Y 2.46-2.47
N  0.8473  0.3265  0.0000  4 Hf 2.23-2.24, 2 Y 2.46-2.47
Y  0.6276  0.4663  0.4011  3 N 2.46-2.47
Hf  0.0167  0.2012  0.5769  3 N 2.23-2.24
Hf  0.6925  0.8504  0.5769  3 N 2.23-2.24
Hf  0.8504  0.6925  0.0769  3 N 2.23-2.24
N  0.5000  0.0000  0.0000  4 Hf 2.23, 2 Y 2.46
In  0.8238  0.5837  0.7517  4 In 3.07-3.08, 4 Hf 3.09-3.10, 2 Y 3.24-3.25
Hf  0.9833  0.7988  0.4231  3 N 2.23-2.24
In  0.1762  0.4163  0.2483  4 In 3.07-3.08, 4 Hf 3.09-3.10, 2 Y 3.24-3.25
Y  0.3724  0.5337  0.5989  3 N 2.46-2.47
Hf  0.7988  0.9833  0.9231  3 N 2.23-2.24
Hf  0.2012  0.0167  0.0769  3 N 2.23-2.24
Y  0.5337  0.3724  0.0989  3 N 2.46-2.47
Y  0.4663  0.6276  0.9011  3 N 2.46-2.47
Hf  0.3075  0.1496  0.4231  3 N 2.23-2.24
N  0.3265  0.8473  0.5000  4 Hf 2.23-2.24, 2 Y 2.46-2.47
In  0.5837  0.8238  0.2517  4 In 3.07-3.08, 4 Hf 3.09-3.10, 2 Y 3.24-3.25
N  0.1527  0.6735  0.0000  4 Hf 2.23-2.24, 2 Y 2.46-2.47
N  0.0000  0.5000  0.5000  4 Hf 2.23, 2 Y 2.46
In  0.0112  0.9888  0.7500  4 In 3.07-3.08, 4 Hf 3.11-3.12, 2 Y 3.26

Properties
Symmetry: C2/c (15)

Entry 6:
The following is a PBE-GGA calculation of a relaxed structure of Y4Hf2In3N3, from the Open Quantum Materials Database.

Lattice parameters (Å, degrees): 5.9739 5.9739 15.5780 101.25 101.25 60.13
Last column: nearest neighbours and their distance in Å.
Sites, in units of the cell vectors:
Y  0.0377  0.1898  0.5894  3 N 2.43-2.48
Hf  0.4750  0.6492  0.9257  3 N 2.21-2.25
N  0.3466  0.8065  0.5000  2 Hf 2.21, 2 Y 2.43
Y  0.1898  0.0377  0.0894  3 N 2.43-2.48
In  0.2858  0.4175  0.2522  2 In 3.08, 2 Hf 3.20-3.23, 4 Y 3.22-3.23
N  0.0000  0.5000  0.5000  2 Hf 2.25, 4 Y 2.43
Hf  0.6492  0.4750  0.4257  3 N 2.21-2.25
Hf  0.3508  0.5250  0.5743  3 N 2.21-2.25
In  0.4175  0.2858  0.7522  2 In 3.08, 2 Hf 3.20-3.23, 4 Y 3.22-3.23
Y  0.6963  0.8715  0.5894  3 N 2.43-2.47
Y  0.9623  0.8102  0.4106  3 N 2.43-2.48
N  0.1935  0.6534  0.0000  2 Hf 2.21, 2 Y 2.43
N  0.6534  0.1935  0.5000  2 Hf 2.21, 2 Y 2.43
In  0.8794  0.1206  0.2500  2 In 3.08, 2 Hf 3.19, 4 Y 3.21-3.22
In  0.7142  0.5825  0.7478  2 In 3.08, 2 Hf 3.20-3.23, 4 Y 3.22-3.23
N  0.8065  0.3466  0.0000  2 Hf 2.21, 2 Y 2.43
Hf  0.5250  0.3508  0.0743  3 N 2.21-2.25
In  0.5825  0.7142  0.2478  2 In 3.08, 2 Hf 3.20-3.23, 4 Y 3.22-3.23
Y  0.8102  0.9623  0.9106  3 N 2.43-2.48
Y  0.1285  0.3037  0.9106  3 N 2.43-2.47
In  0.1206  0.8794  0.7500  2 In 3.08, 2 Hf 3.19, 4 Y 3.21-3.22
N  0.5000  0.0000  0.0000  2 Hf 2.25, 4 Y 2.43
Y  0.8715  0.6963  0.0894  3 N 2.43-2.47
Y  0.3037  0.1285  0.4106  3 N 2.43-2.47

Properties
Symmetry: C2/c (15)

no.,calculated total energy (eV/atom)
1,-8.2517
2,-9.1544
3,-8.9001
4,-8.9285
5,-8.2221
6,-7.6363